Here is DyTlAgPb after structural relaxation from Alexandria. Energies are from PBE.

Cell and atoms, written as CIF:
```
data_DyTlAgPb
_cell_length_a 4.471
_cell_length_b 4.632
_cell_length_c 4.835
_cell_angle_alpha 90.00
_cell_angle_beta 90.00
_cell_angle_gamma 90.00
_symmetry_space_group_name_H-M 'P 1'
_symmetry_Int_Tables_number 1
loop_
_symmetry_equiv_pos_as_xyz
'x,y,z'
loop_
_atom_site_label
_atom_site_fract_x
_atom_site_fract_y
_atom_site_fract_z
Dy1 0.000 0.000 0.000
Tl1 0.500 0.000 0.500
Ag1 0.000 0.500 0.500
Pb1 0.500 0.500 0.000
```

M_tot, μB per formula unit: 0.00
Calculated formation energy, eV/f.u.: -1.0
Distance to the lowest polymorph of the same formula, meV per atom: 0.0